# Tm3Tl2In2, relaxed, DFT PBE-GGA
# DFT formation energy: -24 kJ per mole of atoms
# Energy above the most stable polymorph in this dataset: 64.4 meV per atom
# Size of the total moment: 0.07 μB/atom
data_Tm3Tl2In2
_cell_length_a 3.592
_cell_length_b 4.871
_cell_length_c 21.297
_cell_angle_alpha 90.00
_cell_angle_beta 90.00
_cell_angle_gamma 90.00
_space_group_name_H-M_alt 'I m m m'
_space_group_IT_number 71
_space_group_name_Hall '-I 2 2'
loop_
_atom_site_label
_atom_site_type_symbol
_atom_site_fract_x
_atom_site_fract_y
_atom_site_fract_z
Tm1 Tm 0.000 0.000 0.000
Tm2 Tm 0.000 0.500 0.201
Tl1 Tl 0.000 0.000 0.430
In1 In 0.000 0.500 0.348


# Tm5TlIn3, relaxed, DFT PBE-GGA
# DFT formation energy: -37 kJ per mole of atoms
# Size of the total moment: 0.00 μB/atom
data_Tm5TlIn3
_cell_length_a 9.1891
_cell_length_b 9.1891
_cell_length_c 6.6032
_cell_angle_alpha 90.00
_cell_angle_beta 90.00
_cell_angle_gamma 120.00
_space_group_name_H-M_alt 'P 63/m c m'
_space_group_IT_number 193
_space_group_name_Hall '-P 6c 2'
loop_
_atom_site_label
_atom_site_type_symbol
_atom_site_fract_x
_atom_site_fract_y
_atom_site_fract_z
Tm1 Tm 0.0000 0.2925 0.2500
Tm2 Tm 0.3333 0.6667 0.0000
Tl1 Tl 0.0000 0.0000 0.0000
In1 In 0.0000 0.3720 0.7500


# Tm6Tl3In, relaxed, DFT PBE-GGA
# DFT formation energy: -16 kJ per mole of atoms
# Energy above the most stable polymorph in this dataset: 95.7 meV per atom
# Size of the total moment: 0.00 μB/atom
data_Tm6Tl3In
_cell_length_a 11.795
_cell_length_b 3.605
_cell_length_c 13.882
_cell_angle_alpha 90.00
_cell_angle_beta 104.45
_cell_angle_gamma 90.00
_space_group_name_H-M_alt 'P 1 21/m 1'
_space_group_IT_number 11
_space_group_name_Hall '-P 2yb'
loop_
_atom_site_label
_atom_site_type_symbol
_atom_site_fract_x
_atom_site_fract_y
_atom_site_fract_z
Tm1 Tm 0.008 0.250 0.179
Tm2 Tm 0.119 0.750 0.403
Tm3 Tm 0.236 0.250 0.823
Tm4 Tm 0.309 0.250 0.250
Tm5 Tm 0.355 0.250 0.620
Tm6 Tm 0.378 0.750 0.034
Tl1 Tl 0.113 0.750 0.631
Tl2 Tl 0.145 0.250 0.015
Tl3 Tl 0.391 0.750 0.441
In1 In 0.454 0.750 0.815


> What is the size of the total moment in the third record?

0.00 μB/atom